The following is a DFT calculation (PBE) of a relaxed structure of MgAg3Ge.

- Formation energy from the elements: 0.702 eV/atom
- Crystal system: cubic
- Density: 5.9 g cm⁻³
- Distance to the lowest polymorph of the same formula: 380 meV per atom
- Total moment: 0.0 μB/cell

Structure (CIF):
```
data_MgAg3Ge
_chemical_formula_sum 'Mg1 Ag3 Ge1'
_symmetry_space_group_name_H-M 'P 1'
_symmetry_Int_Tables_number 1
_symmetry_space_group_name_Hall 'P 1'
_cell_length_a 4.906
_cell_length_b 4.906
_cell_length_c 4.906
_cell_angle_alpha 90.00
_cell_angle_beta 90.00
_cell_angle_gamma 90.00
loop_
_atom_site_label
_atom_site_type_symbol
_atom_site_fract_x
_atom_site_fract_y
_atom_site_fract_z
_atom_site_occupancy
Ge1 Ge 0.500 0.500 0.500 1
Mg1 Mg 0.000 0.000 0.000 1
Ag1 Ag 0.000 0.500 0.000 1
Ag2 Ag 0.000 0.000 0.500 1
Ag3 Ag 0.500 0.000 0.000 1
```

The following is a DFT calculation (PBE) of a relaxed structure of NdTm2Fe.

- Formation energy from the elements: 0.175 eV/atom
- Crystal system: trigonal
- Density: 8.4 g cm⁻³
- Distance to the lowest polymorph of the same formula: 145 meV per atom
- Total moment: 1.1 μB/cell

Structure (CIF):
```
data_NdTm2Fe
_chemical_formula_sum 'Nd1 Tm2 Fe1'
_symmetry_space_group_name_H-M 'P 1'
_symmetry_Int_Tables_number 1
_symmetry_space_group_name_Hall 'P 1'
_cell_length_a 3.544
_cell_length_b 3.544
_cell_length_c 9.956
_cell_angle_alpha 79.75
_cell_angle_beta 79.75
_cell_angle_gamma 60.00
loop_
_atom_site_label
_atom_site_type_symbol
_atom_site_fract_x
_atom_site_fract_y
_atom_site_fract_z
_atom_site_occupancy
Tm1 Tm 0.272 0.272 0.183 1
Tm2 Tm 0.728 0.728 0.817 1
Nd1 Nd 0.500 0.500 0.500 1
Fe1 Fe 0.000 0.000 0.000 1
```

- The lowest total moment belongs to which entry?
  MgAg3Ge

- Among the records above, which one has the highest formation energy from the elements?
  MgAg3Ge